VASP calculation (PBE) on crystalline LiMgOs at its relaxed geometry.

## Properties
- V (Å³/cell) = 96.3
- DOS at the Fermi energy (states/eV/atom) = 0.8809
- excess energy over the best structure of this formula in the dataset (eV/f.u.) = 0.81
- calculated formation energy (kJ/mol of formula units) = 85.1
- DFT total energy (eV/cell) = -27.71

abc: 2.6744 2.6744 13.4687
angles: 90.00 90.00 90.00
Space group I4mm (No. 107)
Unique sites:
1 Li 0.0000 0.0000 0.0000 x2
2 Mg 0.0000 0.0000 0.6918 x2
3 Os 0.0000 0.0000 0.3485 x2

---

VASP calculation (PBE) on crystalline LiMgOs2 at its relaxed geometry.

## Properties
- V (Å³/cell) = 57.0
- DOS at the Fermi energy (states/eV/atom) = 0.6810
- calculated formation energy (kJ/mol of formula units) = 204.4
- DFT total energy (eV/cell) = -23.85

abc: 3.0754 3.0754 6.0273
angles: 90.00 90.00 90.00
Space group P4/mmm (No. 123)
Unique sites:
1 Li 0.0000 0.0000 0.0000 x1
2 Mg 0.0000 0.0000 0.5000 x1
3 Os 0.5000 0.5000 0.1974 x2

---

VASP calculation (PBE) on crystalline LiMgOs2 at its relaxed geometry.

## Properties
- V (Å³/cell) = 112.4
- DOS at the Fermi energy (states/eV/atom) = 0.5790
- calculated formation energy (kJ/mol of formula units) = 31.7
- DFT total energy (eV/cell) = -51.28

abc: 4.2868 4.2868 6.1168
angles: 90.00 90.00 90.00
Space group I-4m2 (No. 119)
Unique sites:
1 Li 0.0000 0.0000 0.0000 x2
2 Mg 0.0000 0.5000 0.7500 x2
3 Os 0.0000 0.0000 0.5000 x2
4 Os 0.0000 0.5000 0.2500 x2

---

VASP calculation (PBE) on crystalline Li2MgOs at its relaxed geometry.

## Properties
- V (Å³/cell) = 61.2
- DOS at the Fermi energy (states/eV/atom) = 0.2712
- calculated formation energy (kJ/mol of formula units) = 84.4
- DFT total energy (eV/cell) = -15.78

abc: 2.7012 4.7065 4.8125
angles: 90.00 90.00 90.00
Space group Pmmm (No. 47)
Unique sites:
1 Li 0.0000 0.0000 0.0000 x1
2 Li 0.5000 0.5000 0.0000 x1
3 Mg 0.0000 0.5000 0.5000 x1
4 Os 0.5000 0.0000 0.5000 x1

---

VASP calculation (PBE) on crystalline Li2MgOs at its relaxed geometry.

## Properties
- V (Å³/cell) = 119.4
- DOS at the Fermi energy (states/eV/atom) = 0.3332
- calculated formation energy (kJ/mol of formula units) = 138.5
- DFT total energy (eV/cell) = -30.43

abc: 3.7890 3.7890 8.3165
angles: 90.00 90.00 90.00
Space group I4/mmm (No. 139)
Unique sites:
1 Li 0.0000 0.5000 0.2500 x4
2 Mg 0.0000 0.0000 0.0000 x2
3 Os 0.0000 0.0000 0.5000 x2

---

VASP calculation (PBE) on crystalline LiMgOs4 at its relaxed geometry.

## Properties
- V (Å³/cell) = 391.7
- DOS at the Fermi energy (states/eV/atom) = 1.1733
- calculated formation energy (kJ/mol of formula units) = 229.3
- DFT total energy (eV/cell) = -184.20

abc: 7.3166 7.3166 7.3166
angles: 90.00 90.00 90.00
Space group F-43m (No. 216)
Unique sites:
1 Li 0.0000 0.0000 0.0000 x4
2 Mg 0.2500 0.2500 0.7500 x4
3 Os 0.1251 0.1251 0.3749 x16

---

VASP calculation (PBE) on crystalline Li2Mg2Os at its relaxed geometry.

## Properties
- V (Å³/cell) = 157.5
- DOS at the Fermi energy (states/eV/atom) = 0.4067
- calculated formation energy (kJ/mol of formula units) = 213.1
- DFT total energy (eV/cell) = -32.08

abc: 4.7645 4.7645 6.9393
angles: 90.00 90.00 90.00
Space group I4/mmm (No. 139)
Unique sites:
1 Li 0.0000 0.0000 0.1421 x4
2 Mg 0.0000 0.5000 0.2500 x4
3 Os 0.0000 0.0000 0.5000 x2

---

VASP calculation (PBE) on crystalline Li2MgOs at its relaxed geometry.

## Properties
- V (Å³/cell) = 56.7
- DOS at the Fermi energy (states/eV/atom) = 0.3711
- calculated formation energy (kJ/mol of formula units) = 134.7
- DFT total energy (eV/cell) = -15.26

abc: 4.5622 4.5622 2.7253
angles: 90.00 90.00 90.00
Space group P4/mmm (No. 123)
Unique sites:
1 Li 0.0000 0.5000 0.0000 x2
2 Mg 0.0000 0.0000 0.5000 x1
3 Os 0.5000 0.5000 0.5000 x1

---

VASP calculation (PBE) on crystalline LiMgOs2 at its relaxed geometry.

## Properties
- V (Å³/cell) = 58.8
- DOS at the Fermi energy (states/eV/atom) = 0.9016
- calculated formation energy (kJ/mol of formula units) = 111.5
- DFT total energy (eV/cell) = -24.81

abc: 3.6622 3.6622 4.3863
angles: 90.00 90.00 90.00
Space group P4/mmm (No. 123)
Unique sites:
1 Li 0.0000 0.0000 0.0000 x1
2 Mg 0.5000 0.5000 0.0000 x1
3 Os 0.0000 0.5000 0.5000 x2

---

VASP calculation (PBE) on crystalline LiMgOs2 at its relaxed geometry.

## Properties
- V (Å³/cell) = 115.7
- DOS at the Fermi energy (states/eV/atom) = 0.6298
- calculated formation energy (kJ/mol of formula units) = 77.1
- DFT total energy (eV/cell) = -50.34

abc: 2.8986 4.4222 9.0249
angles: 90.00 90.00 90.00
Space group Immm (No. 71)
Unique sites:
1 Li 0.0000 0.0000 0.0000 x2
2 Mg 0.0000 0.0000 0.5000 x2
3 Os 0.0000 0.5000 0.2532 x4

---

VASP calculation (PBE) on crystalline Li2MgOs at its relaxed geometry.

## Properties
- V (Å³/cell) = 257.3
- DOS at the Fermi energy (states/eV/atom) = 0.2684
- calculated formation energy (kJ/mol of formula units) = 199.8
- DFT total energy (eV/cell) = -58.33

abc: 3.6893 3.6893 18.9071
angles: 90.00 90.00 90.00
Space group I-42d (No. 122)
Unique sites:
1 Li 0.2238 0.2500 0.1250 x8
2 Mg 0.0000 0.0000 0.5000 x4
3 Os 0.0000 0.0000 0.0000 x4

---

VASP calculation (PBE) on crystalline LiMgOs2 at its relaxed geometry.

## Properties
- V (Å³/cell) = 117.7
- DOS at the Fermi energy (states/eV/atom) = 0.8232
- calculated formation energy (kJ/mol of formula units) = 116.9
- DFT total energy (eV/cell) = -49.51

abc: 3.6549 3.6549 8.8140
angles: 90.00 90.00 90.00
Space group I4/mmm (No. 139)
Unique sites:
1 Li 0.0000 0.0000 0.0000 x2
2 Mg 0.0000 0.0000 0.5000 x2
3 Os 0.0000 0.5000 0.2500 x4

---

Question: Which value of calculated formation energy does entry 7 give?
Answer: 213.1 kJ/mol of formula units